This record from the Alexandria database describes a relaxed structure of Pm2Pr2Nd3. The functional is GGA-PBE.

CIF file:
```
data_Pm2Pr2Nd3
_chemical_formula_sum 'Pm4 Pr4 Nd6'
_space_group_name_H-M_alt 'C 1 2/m 1'
_space_group_IT_number 12
_cell_length_a 17.9713
_cell_length_b 3.5814
_cell_length_c 8.8372
_cell_angle_alpha 90.00
_cell_angle_beta 118.90
_cell_angle_gamma 90.00
loop_
_space_group_symop_operation_xyz
'x,y,z'
'-x,-y,-z'
'-x,y,-z'
'x,-y,z'
'x+1/2,y+1/2,z'
'-x+1/2,-y+1/2,-z'
'-x+1/2,y+1/2,-z'
'x+1/2,-y+1/2,z'
loop_
_atom_site_label
_atom_site_fract_x
_atom_site_fract_y
_atom_site_fract_z
Pm1 0.1482 0.0000 0.3348
Pr1 0.0651 0.5000 0.9090
Nd1 0.0000 0.0000 0.5000
Nd2 0.2133 0.0000 0.8000
```

formation enthalpy at 0 K: 0.103 eV/atom
V: 35.6 A^3/atom
energy above the lowest structure with this stoichiometry: 0.00 eV per formula unit
calculated density: 6.70 Mg/m³
calculated total energy: -0.1714 hartree per atom